Entry 1:
{
  "formula": "Ba2CuTeRh",
  "functional": "GGA-PBE",
  "state": "relaxed",
  "lattice": [[5.9467, 0.0000, 0.0000], [0.0000, 5.9467, 0.0000], [0.0000, 0.0000, 4.7168]],
  "species": ["Te", "Rh", "Ba", "Ba", "Cu"],
  "fractional_positions": [[0.5000, 0.5000, 0.5000], [0.0000, 0.0000, 0.0000], [0.0000, 0.5000, 0.0000], [0.5000, 0.0000, 0.0000], [0.0000, 0.0000, 0.5000]],
  "raw_formation_energy_ev_per_atom": -0.481,
  "crystal_system": "tetragonal"
}


Entry 2:
{
  "formula": "TbBPt5",
  "functional": "GGA-PBE",
  "state": "relaxed",
  "lattice": [[3.9407, 0.0000, 0.0000], [0.0000, 3.9407, 0.0000], [0.0000, 0.0000, 7.1105]],
  "species": ["Tb", "B", "Pt", "Pt", "Pt", "Pt", "Pt"],
  "fractional_positions": [[0.0000, 0.0000, 0.5000], [0.5000, 0.5000, 0.0000], [0.0000, 0.5000, 0.8104], [0.0000, 0.5000, 0.1896], [0.5000, 0.0000, 0.8104], [0.5000, 0.0000, 0.1896], [0.5000, 0.5000, 0.5000]],
  "crystal_system": "tetragonal",
  "e_form_ev_per_atom": -0.6130
}


Entry 3:
{
  "formula": "CeCu6Ge2",
  "functional": "GGA-PBE",
  "state": "relaxed",
  "lattice": [[-0.8694, -0.8206, 3.9412], [1.9277, -3.6246, -0.3295], [6.9184, 3.4750, 2.2498]],
  "species": ["Ce", "Cu", "Cu", "Cu", "Cu", "Cu", "Cu", "Ge", "Ge"],
  "fractional_positions": [[0.0000, 0.0000, 0.0000], [0.0000, 0.5000, 0.3190], [0.5000, 0.0000, 0.3190], [0.0000, 0.5000, 0.6810], [0.5000, 0.0000, 0.6810], [0.5000, 0.5000, 0.5000], [0.0000, 0.0000, 0.5000], [0.5000, 0.5000, 0.1559], [0.5000, 0.5000, 0.8441]],
  "crystal_system": "tetragonal",
  "e_form_ev_per_atom": -0.2234
}


Entry 4:
{
  "formula": "Ac3TbY3",
  "functional": "GGA-PBE",
  "state": "relaxed",
  "lattice": [[-5.7706, -5.5769, -5.8364], [-6.9988, -5.7808, 4.0082], [-8.2928, 0.8178, -1.0177]],
  "species": ["Ac", "Ac", "Ac", "Ac", "Ac", "Ac", "Tb", "Tb", "Y", "Y", "Y", "Y", "Y", "Y"],
  "fractional_positions": [[0.3238, 0.8862, 0.7482], [0.8862, 0.0417, 0.7482], [0.0417, 0.3238, 0.7482], [0.9583, 0.6762, 0.2518], [0.1138, 0.9583, 0.2518], [0.6762, 0.1138, 0.2518], [0.7437, 0.7437, 0.7690], [0.2563, 0.2563, 0.2310], [0.4010, 0.5326, 0.2495], [0.8169, 0.4010, 0.2495], [0.5326, 0.8169, 0.2495], [0.4674, 0.1831, 0.7505], [0.1831, 0.5990, 0.7505], [0.5990, 0.4674, 0.7505]],
  "crystal_system": "trigonal",
  "e_form_ev_per_atom": 0.0575
}


Number 1: D(E_F) 5.02 states/eV per cell. Number 2: D(E_F) 3.00 states/eV per cell. Number 3: D(E_F) 7.54 states/eV per cell. Number 4: D(E_F) 22.70 states/eV per cell.